Entry from Alexandria via LeMat-Bulk: an optimized crystal structure of NaSbSe2 (PBEsol).

Cell: 4.121 4.121 5.620 Å, 90.00 90.00 90.00°
Positions (direct):
Na 0.000 0.000 0.000
Sb 0.500 0.500 0.500
Se 0.000 0.000 0.500
Se 0.500 0.500 0.000

## Properties
**SG**: P4/mmm (123)
**Formation energy from raw total energies**: -214 kJ/mol of formula units
**Magnetization**: 0.00 μB/f.u.
**Mass density**: 5.27 g/cm3